Record 1
A PBEsol-optimized structure of InTeO3F, computed with SCAN.

a = 5.402 Å, b = 7.848 Å, c = 8.200 Å
α = 91.90°, β = 90.00°, γ = 90.00°
Sites, in units of the cell vectors:
F 0.543 0.201 0.619
F 0.457 0.799 0.381
F 0.043 0.299 0.381
F 0.957 0.701 0.619
Te 0.708 0.150 0.296
Te 0.292 0.850 0.704
Te 0.792 0.650 0.296
Te 0.208 0.350 0.704
O 0.579 0.924 0.838
O 0.938 0.872 0.276
O 0.562 0.372 0.276
O 0.438 0.628 0.724
O 0.399 0.325 0.903
O 0.601 0.675 0.097
O 0.062 0.128 0.724
O 0.101 0.825 0.903
O 0.079 0.576 0.162
O 0.899 0.175 0.097
O 0.421 0.076 0.162
O 0.921 0.424 0.838
In 0.771 0.672 0.860
In 0.229 0.328 0.140
In 0.729 0.172 0.860
In 0.271 0.828 0.140

For the formation energy from raw total energies, the calculation gives -1.701 eV per atom. Its total energy is -1.2627 Ry per atom. As for the space-group type: P2_1/c (14).

=====

Record 2
A PBEsol-optimized structure of Ta2GePdF, computed with SCAN.

a = 4.450 Å, b = 4.777 Å, c = 4.777 Å
α = 90.00°, β = 90.00°, γ = 90.00°
Sites, in units of the cell vectors:
F 0.500 0.500 0.500
Ta 0.000 0.500 0.000
Ta 0.000 0.000 0.500
Ge 0.000 0.000 0.000
Pd 0.500 0.000 0.000

For the formation energy from raw total energies, the calculation gives 1.048 eV per atom. Its total energy is -2.6949 Ry per atom. As for the space-group type: P4/mmm (123).

=====

Record 3
A PBEsol-optimized structure of ScPt2F, computed with SCAN.

a = 4.381 Å, b = 4.381 Å, c = 4.381 Å
α = 60.00°, β = 60.00°, γ = 60.00°
Sites, in units of the cell vectors:
Sc 0.500 0.500 0.500
Pt 0.250 0.250 0.250
Pt 0.750 0.750 0.750
F 0.000 0.000 0.000

For the formation energy from raw total energies, the calculation gives -0.827 eV per atom. Its total energy is -2.9670 Ry per atom. As for the space-group type: Fm-3m (225).